No. 1
Below is PaTl2BiO6 after structural relaxation, with properties calculated at the PBE level.

Lattice parameters (Å, degrees): 6.1512 6.1512 6.1512 60.00 60.00 60.00
Closest atoms and distances in Å follow each position.
Atoms (fractional coordinates):
1 Pa 0.0000 0.0000 0.0000  6 O 2.17
2 Tl 0.2500 0.2500 0.2500  12 O 3.08
3 Tl 0.7500 0.7500 0.7500  12 O 3.08
4 Bi 0.5000 0.5000 0.5000  6 O 2.18
5 O 0.2497 0.2497 0.7503  1 Pa 2.17, 1 Bi 2.18
6 O 0.2497 0.7503 0.2497  1 Pa 2.17, 1 Bi 2.18
7 O 0.2497 0.7503 0.7503  1 Pa 2.17, 1 Bi 2.18
8 O 0.7503 0.2497 0.2497  1 Pa 2.17, 1 Bi 2.18
9 O 0.7503 0.2497 0.7503  1 Pa 2.17, 1 Bi 2.18
10 O 0.7503 0.7503 0.2497  1 Pa 2.17, 1 Bi 2.18

Results
**Total moment**: 0.00 μB/cell
**Calculated volume**: 16.5 Å³ per atom
**ΔE_f (raw)**: -17.6 eV per formula unit

***

No. 2
Below is LiOF after structural relaxation, with properties calculated at the PBE level.

Lattice parameters (Å, degrees): 3.7617 3.7617 5.8943 104.00 104.00 90.31
Closest atoms and distances in Å follow each position.
Atoms (fractional coordinates):
1 Li 0.2502 0.7498 0.0000  4 F 1.92-1.93
2 Li 0.7498 0.2502 0.0000  4 F 1.92-1.93
3 O 0.1156 0.8844 0.5000  1 O 1.23
4 O 0.8844 0.1156 0.5000  1 O 1.23
5 F 0.2780 0.2780 0.0729  4 Li 1.92-1.93
6 F 0.7220 0.7220 0.9271  4 Li 1.92-1.93

Results
**Excess energy over the best structure of this formula in the dataset**: 2 meV per atom
**Total moment**: 2.00 μB/cell
**Calculated volume**: 13.1 Å³ per atom
**ΔE_f (raw)**: -5.6 eV per formula unit

***

No. 3
Below is HoHfNi2 after structural relaxation, with properties calculated at the PBE level.

Lattice parameters (Å, degrees): 3.2553 3.2553 6.6481 90.00 90.00 90.00
Closest atoms and distances in Å follow each position.
Atoms (fractional coordinates):
1 Ho 0.0000 0.0000 0.0000  8 Ni 3.00, 4 Ho 3.26, 2 Hf 3.32
2 Hf 0.0000 0.0000 0.5000  8 Ni 2.70
3 Ni 0.5000 0.5000 0.2888  4 Hf 2.70, 1 Ni 2.81, 4 Ho 3.00
4 Ni 0.5000 0.5000 0.7112  4 Hf 2.70, 1 Ni 2.81, 4 Ho 3.00

Results
**Excess energy over the best structure of this formula in the dataset**: 0 meV per atom
**Total moment**: 0.00 μB/cell
**Formation enthalpy at 0 K**: -42 kJ per mole of atoms
**Calculated volume**: 17.6 Å³ per atom

***

Which E_tot belongs to each record? In order, -65.49 -28.71 -27.83 eV per cell.